The following is a DFT calculation (PBE) of a relaxed structure of Nd4TlIn2Ga.

```
data_Nd4TlIn2Ga
_chemical_formula_sum 'Nd12 Tl3 In6 Ga3'
_cell_length_a 5.4349
_cell_length_b 5.4349
_cell_length_c 26.5945
_cell_angle_alpha 90.00
_cell_angle_beta 90.00
_cell_angle_gamma 120.00
_space_group_name_H-M_alt 'R -3 m'
_space_group_IT_number 166
_space_group_name_Hall '-R 3 2"'
loop_
_atom_site_label
_atom_site_type_symbol
_atom_site_fract_x
_atom_site_fract_y
_atom_site_fract_z
_atom_site_occupancy
Nd1 Nd 0.0000 0.0000 0.1209 1
Nd2 Nd 0.0000 0.0000 0.3714 1
Tl1 Tl 0.0000 0.0000 0.5000 1
In1 In 0.0000 0.0000 0.2474 1
Ga1 Ga 0.0000 0.0000 0.0000 1
```

Values from the calculation:
calculated volume: 680.3 Å³ per cell
E_form: -0.471 eV per atom
uncorrected energy: -4.21 eV/atom